# 1
Computed, not measured: crystalline MgAsPt2 at its relaxed geometry at the PBE-GGA level of DFT.

Magnetic moment ... 0.00 μB per cell
ΔH_f (0 K) ... -0.458 eV/atom
Density of states at the Fermi level ... 1.69 states/eV per cell
Volume ... 66.8 Å³ per cell

```
data_MgAsPt2
_cell_length_a 3.5399
_cell_length_b 3.5399
_cell_length_c 5.3301
_cell_angle_alpha 90.00
_cell_angle_beta 90.00
_cell_angle_gamma 90.00
_symmetry_space_group_name_H-M 'P 4 m m'
_symmetry_Int_Tables_number 99
loop_
_symmetry_equiv_pos_as_xyz
'x,y,z'
'-y,x,z'
'-x,-y,z'
'y,-x,z'
'-x,y,z'
'y,x,z'
'x,-y,z'
'-y,-x,z'
loop_
_atom_site_label
_atom_site_type_symbol
_atom_site_fract_x
_atom_site_fract_y
_atom_site_fract_z
_atom_site_occupancy
Mg1 Mg 0.0000 0.0000 0.0000 1
As1 As 0.5000 0.5000 0.6710 1
Pt1 Pt 0.0000 0.0000 0.5075 1
Pt2 Pt 0.5000 0.5000 0.1876 1
```

---

# 2
Computed, not measured: crystalline NdZn4Ru at its relaxed geometry at the PBE-GGA level of DFT.

Magnetic moment ... 0.00 μB per cell
E above lowest polymorph ... 0.000 eV/atom
ΔH_f (0 K) ... -0.233 eV/atom
Density of states at the Fermi level ... 4.92 states/eV per cell
Volume ... 221.6 Å³ per cell

```
data_NdZn4Ru
_cell_length_a 7.9223
_cell_length_b 4.0423
_cell_length_c 6.9190
_cell_angle_alpha 90.00
_cell_angle_beta 90.00
_cell_angle_gamma 90.00
_symmetry_space_group_name_H-M 'P m m a'
_symmetry_Int_Tables_number 51
loop_
_symmetry_equiv_pos_as_xyz
'x,y,z'
'-x,-y,-z'
'-x+1/2,-y,z'
'x+1/2,y,-z'
'x+1/2,-y,-z'
'-x+1/2,y,z'
'-x,y,-z'
'x,-y,z'
loop_
_atom_site_label
_atom_site_type_symbol
_atom_site_fract_x
_atom_site_fract_y
_atom_site_fract_z
_atom_site_occupancy
Nd1 Nd 0.2500 0.0000 0.1126 1
Zn1 Zn 0.0000 0.0000 0.5000 1
Zn2 Zn 0.0540 0.5000 0.8016 1
Zn3 Zn 0.2500 0.5000 0.4660 1
Ru1 Ru 0.2500 0.0000 0.7176 1
```

---

E_tot values, unit eV per cell, following the record order: -20.16, -41.07.